Here is a geometry-optimized Sc3SI structure from the Alexandria database. Energies are from PBE-GGA.

## Properties
Energy above the most stable polymorph in this dataset, meV/atom: 0.0
E, eV/cell: -27.22
Symmetry: No. 221
ρ, g/cm3: 4.10
ΔE_f (raw), eV/f.u.: -2.5

a = 4.9179 Å, b = 4.9179 Å, c = 4.9179 Å
α = 90.00°, β = 90.00°, γ = 90.00°
With the nearest neighbours (Å) after each atom.
Atoms (fractional coordinates):
Sc1 0.0000 0.0000 0.5000  2 S 2.46
Sc2 0.0000 0.5000 0.0000  2 S 2.46
Sc3 0.5000 0.0000 0.0000  2 S 2.46
S1 0.0000 0.0000 0.0000  6 Sc 2.46
I1 0.5000 0.5000 0.5000  12 Sc 3.48

---

Here is a geometry-optimized AlIrPt structure from the Alexandria database. Energies are from PBE-GGA.

## Properties
Energy above the most stable polymorph in this dataset, meV/atom: 19.4
Formation energy from the elements, eV per atom: -0.577
E, eV/cell: -20.38
Symmetry: No. 156
ρ, g/cm3: 15.58

a = 2.8355 Å, b = 2.8355 Å, c = 6.3426 Å
α = 90.00°, β = 90.00°, γ = 120.00°
With the nearest neighbours (Å) after each atom.
Atoms (fractional coordinates):
Al1 0.0000 0.0000 0.0000  3 Ir 2.53, 3 Pt 2.57
Ir1 0.6667 0.3333 0.3044  3 Al 2.53
Pt1 0.3333 0.6667 0.6871  3 Al 2.57, 6 Pt 2.84

---

Here is a geometry-optimized Tb3Nd3Sc5 structure from the Alexandria database. Energies are from PBE-GGA.

## Properties
Formation energy from the elements, eV per atom: 0.802
E, eV/cell: -51.03
Symmetry: No. 189
ρ, g/cm3: 4.84

a = 9.0743 Å, b = 9.0743 Å, c = 5.4556 Å
α = 90.00°, β = 90.00°, γ = 120.00°
With the nearest neighbours (Å) after each atom.
Atoms (fractional coordinates):
Tb1 0.0000 0.3834 0.0000  2 Sc 3.00
Tb2 0.3834 0.0000 0.0000  2 Sc 3.00
Tb3 0.6166 0.6166 0.0000  2 Sc 3.00
Nd1 0.0000 0.6198 0.5000  4 Sc 2.84-3.03
Nd2 0.3802 0.3802 0.5000  4 Sc 2.84-3.03
Nd3 0.6198 0.0000 0.5000  4 Sc 2.84-3.03
Sc1 0.0000 0.2451 0.5000  2 Tb 3.00, 2 Nd 3.03
Sc2 0.2451 0.0000 0.5000  2 Tb 3.00, 2 Nd 3.03
Sc3 0.3333 0.6667 0.5000  3 Nd 2.84
Sc4 0.6667 0.3333 0.5000  3 Nd 2.84
Sc5 0.7549 0.7549 0.5000  2 Tb 3.00, 2 Nd 3.03

---

Here is a geometry-optimized Ce5PuTe8 structure from the Alexandria database. Energies are from PBE-GGA.

## Properties
E, eV/cell: -88.12
Symmetry: No. 82
ρ, g/cm3: 7.61
ΔE_f (raw), eV/f.u.: -19.0

a = 8.2273 Å, b = 8.2273 Å, c = 8.2273 Å
α = 109.50°, β = 109.50°, γ = 109.42°
With the nearest neighbours (Å) after each atom.
Atoms (fractional coordinates):
Ce1 0.0000 0.0000 0.0000  8 Te 3.22-3.36
Ce2 0.2511 0.6260 0.1250  8 Te 3.22-3.38
Ce3 0.3740 0.4990 0.6251  8 Te 3.22-3.38
Ce4 0.5010 0.1262 0.8750  8 Te 3.22-3.38
Ce5 0.8738 0.7489 0.3749  8 Te 3.22-3.38
Pu1 0.7500 0.2500 0.5000  8 Te 3.20-3.36
Te1 0.1223 0.2220 0.7493  1 Pu 3.20, 5 Ce 3.22-3.38
Te2 0.1253 0.7221 0.7502  5 Ce 3.22-3.36, 1 Pu 3.36, 2 Te 3.59-3.60
Te3 0.2779 0.0281 0.4032  5 Ce 3.22-3.36, 1 Pu 3.36, 2 Te 3.59-3.60
Te4 0.4727 0.3730 0.2507  1 Pu 3.20, 5 Ce 3.22-3.38
Te5 0.6249 0.8747 0.5968  5 Ce 3.22-3.36, 1 Pu 3.36, 2 Te 3.59-3.60
Te6 0.6270 0.8777 0.0997  1 Pu 3.20, 5 Ce 3.22-3.38
Te7 0.7780 0.5273 0.9003  1 Pu 3.20, 5 Ce 3.22-3.38
Te8 0.9719 0.3751 0.2498  5 Ce 3.22-3.36, 1 Pu 3.36, 2 Te 3.59-3.60

---

Here is a geometry-optimized Na3Hg7Sb structure from the Alexandria database. Energies are from PBE-GGA.

## Properties
E, eV/cell: -24.13
Symmetry: No. 63
ρ, g/cm3: 8.42
ΔE_f (raw), eV/f.u.: -1.9

a = 11.7616 Å, b = 11.7616 Å, c = 11.1600 Å
α = 90.00°, β = 90.00°, γ = 155.95°
With the nearest neighbours (Å) after each atom.
Atoms (fractional coordinates):
Na1 0.0723 0.9277 0.5750  9 Hg 3.23-3.56, 1 Sb 3.27
Na2 0.0723 0.9277 0.9250  9 Hg 3.23-3.56, 1 Sb 3.27
Na3 0.1849 0.8151 0.2500  1 Sb 3.30, 8 Hg 3.55-3.69
Na4 0.8151 0.1849 0.7500  1 Sb 3.30, 8 Hg 3.55-3.69
Na5 0.9277 0.0723 0.0750  9 Hg 3.23-3.56, 1 Sb 3.27
Na6 0.9277 0.0723 0.4250  9 Hg 3.23-3.56, 1 Sb 3.27
Hg1 0.2144 0.7856 0.6155  4 Hg 2.98-3.13, 1 Na 3.30
Hg2 0.2144 0.7856 0.8845  4 Hg 2.98-3.13, 1 Na 3.30
Hg3 0.3361 0.6639 0.5239  5 Hg 2.98-3.17
Hg4 0.3361 0.6639 0.9761  5 Hg 2.98-3.17
Hg5 0.3725 0.6275 0.2500  6 Hg 3.17-3.50, 4 Na 3.38
Hg6 0.4608 0.5392 0.6008  2 Hg 2.88-2.99, 2 Sb 2.96, 2 Na 3.23
Hg7 0.4608 0.5392 0.8992  2 Hg 2.88-2.99, 2 Sb 2.96, 2 Na 3.23
Hg8 0.5392 0.4608 0.1008  2 Hg 2.88-2.99, 2 Sb 2.96, 2 Na 3.23
Hg9 0.5392 0.4608 0.3992  2 Hg 2.88-2.99, 2 Sb 2.96, 2 Na 3.23
Hg10 0.6275 0.3725 0.7500  6 Hg 3.17-3.50, 4 Na 3.38
Hg11 0.6639 0.3361 0.0239  5 Hg 2.98-3.17
Hg12 0.6639 0.3361 0.4761  5 Hg 2.98-3.17
Hg13 0.7856 0.2144 0.1155  4 Hg 2.98-3.13, 1 Na 3.30
Hg14 0.7856 0.2144 0.3845  4 Hg 2.98-3.13, 1 Na 3.30
Sb1 0.0414 0.9586 0.2500  4 Hg 2.96, 3 Na 3.27-3.30
Sb2 0.9586 0.0414 0.7500  4 Hg 2.96, 3 Na 3.27-3.30

---

Here is a geometry-optimized SmGa4Cu2 structure from the Alexandria database. Energies are from PBE-GGA.

## Properties
Energy above the most stable polymorph in this dataset, meV/atom: 0.0
Formation energy from the elements, eV per atom: -0.373
E, eV/cell: -110.52
Symmetry: No. 62
ρ, g/cm3: 7.68

a = 16.9990 Å, b = 4.3245 Å, c = 6.5494 Å
α = 90.00°, β = 90.00°, γ = 90.00°
With the nearest neighbours (Å) after each atom.
Atoms (fractional coordinates):
Sm1 0.1368 0.2500 0.0048  10 Ga 3.03-3.37, 5 Cu 3.17-3.36
Sm2 0.3632 0.7500 0.5048  10 Ga 3.03-3.37, 5 Cu 3.17-3.36
Sm3 0.6368 0.2500 0.4952  10 Ga 3.03-3.37, 5 Cu 3.17-3.36
Sm4 0.8632 0.7500 0.9952  10 Ga 3.03-3.37, 5 Cu 3.17-3.36
Ga1 0.0343 0.7500 0.8199  3 Cu 2.51-2.78, 2 Ga 2.76-2.77
Ga2 0.0740 0.2500 0.4932  2 Cu 2.48-2.54, 1 Ga 2.76
Ga3 0.1833 0.7500 0.3155  4 Cu 2.54-2.62, 1 Ga 2.61
Ga4 0.1919 0.7500 0.7133  3 Cu 2.51-2.55, 2 Ga 2.61-2.77
Ga5 0.3081 0.2500 0.2133  3 Cu 2.51-2.55, 2 Ga 2.61-2.77
Ga6 0.3167 0.2500 0.8155  4 Cu 2.54-2.62, 1 Ga 2.61
Ga7 0.4260 0.7500 0.9932  2 Cu 2.48-2.54, 1 Ga 2.76
Ga8 0.4657 0.2500 0.3199  3 Cu 2.51-2.78, 2 Ga 2.76-2.77
Ga9 0.5343 0.7500 0.6801  3 Cu 2.51-2.78, 2 Ga 2.76-2.77
Ga10 0.5740 0.2500 0.0068  2 Cu 2.48-2.54, 1 Ga 2.76
Ga11 0.6833 0.7500 0.1845  4 Cu 2.54-2.62, 1 Ga 2.61
Ga12 0.6919 0.7500 0.7867  3 Cu 2.51-2.55, 2 Ga 2.61-2.77
Ga13 0.8081 0.2500 0.2867  3 Cu 2.51-2.55, 2 Ga 2.61-2.77
Ga14 0.8167 0.2500 0.6845  4 Cu 2.54-2.62, 1 Ga 2.61
Ga15 0.9260 0.7500 0.5068  2 Cu 2.48-2.54, 1 Ga 2.76
Ga16 0.9657 0.2500 0.1801  3 Cu 2.51-2.78, 2 Ga 2.76-2.77
Cu1 0.0361 0.7500 0.2441  7 Ga 2.51-2.78
Cu2 0.2195 0.2500 0.5207  7 Ga 2.48-2.62
Cu3 0.2805 0.7500 0.0207  7 Ga 2.48-2.62
Cu4 0.4639 0.2500 0.7441  7 Ga 2.51-2.78
Cu5 0.5361 0.7500 0.2559  7 Ga 2.51-2.78
Cu6 0.7195 0.2500 0.9793  7 Ga 2.48-2.62
Cu7 0.7805 0.7500 0.4793  7 Ga 2.48-2.62
Cu8 0.9639 0.2500 0.7559  7 Ga 2.51-2.78